Density functional theory data (PBE-GGA) for an optimized crystal structure of Zr5Al2H.

Values from the calculation:
calculated density	5.29	g/cm3
density of states at the Fermi level	14.420	states/eV per cell
calculated total energy	-109.37	eV for the cell shown

Cell lengths 6.2991, 6.2991, 8.0864 Å; angles 90.00, 90.00, 90.00 degrees
Last column: nearest neighbours and their distance in Å.
Space group I4mm (No. 107)
Symmetry-distinct sites (fractional):
Zr  0.0000  0.0000  0.0000 [2 per cell]  1 H 2.15
Zr  0.2480  0.2480  0.2524 [8 per cell]  1 H 2.25
Al  0.0000  0.5000  0.0033 [4 per cell]  10 Zr 3.00-3.15
H  0.0000  0.0000  0.7340 [2 per cell]  5 Zr 2.15-2.25